1.
ZrFeCl2 | PBE | relaxed Values from VASP.

Properties
* E above lowest polymorph: 0.528 eV/atom
* formation energy (no corrections): -193 meV per atom
* space group: P4/mmm
* calculated total energy: -5.3692 eV/atom

Quantum ESPRESSO input file:
```
&SYSTEM
  ibrav = 0, nat = 4, ntyp = 3
/
ATOMIC_SPECIES
Cl 35.45 Cl.upf
Zr 91.22 Zr.upf
Fe 55.84 Fe.upf
CELL_PARAMETERS angstrom
3.085 0.000 0.000
0.000 3.085 0.000
0.000 0.000 10.446
ATOMIC_POSITIONS angstrom
Cl 0.000 0.000 9.432
Cl 0.000 0.000 6.237
Zr 1.542 1.542 7.835
Fe 1.542 1.542 2.612
```

***

2.
ZrFeCl | PBE | relaxed Values from VASP.

Properties
* formation energy (no corrections): 410 meV per atom
* space group: F-43m
* calculated total energy: -5.8756 eV/atom

Quantum ESPRESSO input file:
```
&SYSTEM
  ibrav = 0, nat = 3, ntyp = 3
/
ATOMIC_SPECIES
Cl 35.45 Cl.upf
Fe 55.84 Fe.upf
Zr 91.22 Zr.upf
CELL_PARAMETERS angstrom
4.448 0.000 0.000
2.224 3.852 0.000
2.224 1.284 3.632
ATOMIC_POSITIONS angstrom
Cl 0.000 0.000 0.000
Fe 4.448 2.568 1.816
Zr 6.672 3.852 2.724
```

***

3.
ZrFeCl2 | PBE | relaxed Values from VASP.

Properties
* E above lowest polymorph: 0.480 eV/atom
* formation energy (no corrections): -242 meV per atom
* space group: C2/m
* calculated total energy: -5.4176 eV/atom

Quantum ESPRESSO input file:
```
&SYSTEM
  ibrav = 0, nat = 4, ntyp = 3
/
ATOMIC_SPECIES
Cl 35.45 Cl.upf
Fe 55.84 Fe.upf
Zr 91.22 Zr.upf
CELL_PARAMETERS angstrom
-4.794 -2.309 -0.790
3.302 -4.009 1.400
-1.051 -1.470 2.744
ATOMIC_POSITIONS angstrom
Cl 0.000 0.000 0.000
Cl -0.746 -3.159 0.305
Fe -2.922 -1.890 0.977
Zr 1.126 -2.739 2.072
```

***

4.
ZrFeCl2 | PBE | relaxed Values from VASP.

Properties
* E above lowest polymorph: 0.177 eV/atom
* formation energy (no corrections): -544 meV per atom
* space group: Immm
* calculated total energy: -5.7197 eV/atom

Quantum ESPRESSO input file:
```
&SYSTEM
  ibrav = 0, nat = 4, ntyp = 3
/
ATOMIC_SPECIES
Zr 91.22 Zr.upf
Fe 55.84 Fe.upf
Cl 35.45 Cl.upf
CELL_PARAMETERS angstrom
-2.298 2.812 6.734
-6.531 0.956 3.869
5.251 -4.022 -3.845
ATOMIC_POSITIONS angstrom
Zr -2.847 -0.591 2.663
Fe -0.731 0.337 4.095
Cl -3.451 1.472 4.144
Cl -0.964 0.411 1.158
```